Entry 1:
# PBE TcRu2W, relaxed
# - uncorrected energy (eV/atom) = -10.4494
# - energy above the lowest structure with this stoichiometry (eV per formula unit) = 0.02
# - total magnetization (Bohr magnetons per cell) = 0.0
data_TcRu2W
_cell_length_a 3.8896
_cell_length_b 3.8896
_cell_length_c 7.7384
_cell_angle_alpha 90.00
_cell_angle_beta 90.00
_cell_angle_gamma 90.00
_space_group_name_H-M_alt 'I 4/m m m'
_space_group_IT_number 139
_space_group_name_Hall '-I 4 2'
loop_
_atom_site_label
_atom_site_fract_x
_atom_site_fract_y
_atom_site_fract_z
_atom_site_occupancy
Tc1 0.0000 0.0000 0.0000 1
Ru1 0.0000 0.5000 0.2500 1
W1 0.0000 0.0000 0.5000 1

Entry 2:
# PBE TcRuW, relaxed
# - uncorrected energy (eV/atom) = -10.8097
# - energy above the lowest structure with this stoichiometry (eV per formula unit) = 0.00
# - total magnetization (Bohr magnetons per cell) = 0.0
data_TcRuW
_cell_length_a 2.7455
_cell_length_b 2.7455
_cell_length_c 11.8975
_cell_angle_alpha 90.00
_cell_angle_beta 90.00
_cell_angle_gamma 90.00
_space_group_name_H-M_alt 'I 4 m m'
_space_group_IT_number 107
_space_group_name_Hall 'I 4 -2'
loop_
_atom_site_label
_atom_site_fract_x
_atom_site_fract_y
_atom_site_fract_z
_atom_site_occupancy
Tc1 0.0000 0.0000 0.0000 1
Ru1 0.0000 0.0000 0.6514 1
W1 0.0000 0.0000 0.3209 1

Entry 3:
# PBE TcRuW2, relaxed
# - uncorrected energy (eV/atom) = -11.1345
# - energy above the lowest structure with this stoichiometry (eV per formula unit) = 0.52
# - total magnetization (Bohr magnetons per cell) = 3.3
data_TcRuW2
_cell_length_a 6.2671
_cell_length_b 6.2671
_cell_length_c 6.2671
_cell_angle_alpha 90.00
_cell_angle_beta 90.00
_cell_angle_gamma 90.00
_space_group_name_H-M_alt 'F -4 3 m'
_space_group_IT_number 216
_space_group_name_Hall 'F -4 2 3'
loop_
_atom_site_label
_atom_site_fract_x
_atom_site_fract_y
_atom_site_fract_z
_atom_site_occupancy
Tc1 0.0000 0.0000 0.0000 1
Ru1 0.2500 0.2500 0.7500 1
W1 0.0000 0.0000 0.5000 1
W2 0.2500 0.2500 0.2500 1

Entry 4:
# PBE TcRu2W, relaxed
# - uncorrected energy (eV/atom) = -10.3365
# - energy above the lowest structure with this stoichiometry (eV per formula unit) = 0.47
# - total magnetization (Bohr magnetons per cell) = 0.0
data_TcRu2W
_cell_length_a 2.7458
_cell_length_b 2.7458
_cell_length_c 27.1259
_cell_angle_alpha 90.00
_cell_angle_beta 90.00
_cell_angle_gamma 120.00
_space_group_name_H-M_alt 'R 3 m'
_space_group_IT_number 160
_space_group_name_Hall 'R 3 -2"'
loop_
_atom_site_label
_atom_site_fract_x
_atom_site_fract_y
_atom_site_fract_z
_atom_site_occupancy
Tc1 0.0000 0.0000 0.0000 1
Ru1 0.0000 0.0000 0.2551 1
Ru2 0.0000 0.0000 0.5042 1
W1 0.0000 0.0000 0.7557 1

Entry 5:
# PBE TcRu2W, relaxed
# - uncorrected energy (eV/atom) = -10.1273
# - energy above the lowest structure with this stoichiometry (eV per formula unit) = 1.30
# - total magnetization (Bohr magnetons per cell) = 0.0
data_TcRu2W
_cell_length_a 4.3327
_cell_length_b 4.3327
_cell_length_c 11.0913
_cell_angle_alpha 90.00
_cell_angle_beta 90.00
_cell_angle_gamma 120.00
_space_group_name_H-M_alt 'R 3 m'
_space_group_IT_number 160
_space_group_name_Hall 'R 3 -2"'
loop_
_atom_site_label
_atom_site_fract_x
_atom_site_fract_y
_atom_site_fract_z
_atom_site_occupancy
Tc1 0.0000 0.0000 0.0000 1
Ru1 0.0000 0.0000 0.2548 1
Ru2 0.0000 0.0000 0.4861 1
W1 0.0000 0.0000 0.7611 1

Entry 6:
# PBE TcRuW2, relaxed
# - uncorrected energy (eV/atom) = -11.2592
# - energy above the lowest structure with this stoichiometry (eV per formula unit) = 0.03
# - total magnetization (Bohr magnetons per cell) = 0.0
data_TcRuW2
_cell_length_a 9.2971
_cell_length_b 2.7831
_cell_length_c 4.7951
_cell_angle_alpha 90.00
_cell_angle_beta 99.46
_cell_angle_gamma 90.00
_space_group_name_H-M_alt 'C 1 m 1'
_space_group_IT_number 8
loop_
_space_group_symop_operation_xyz
'x,y,z'
'x,-y,z'
'x+1/2,y+1/2,z'
'x+1/2,-y+1/2,z'
loop_
_atom_site_label
_atom_site_fract_x
_atom_site_fract_y
_atom_site_fract_z
_atom_site_occupancy
Tc1 0.0000 0.0000 0.0000 1
Ru1 0.2627 0.0000 0.7492 1
W1 0.0174 0.5000 0.5160 1
W2 0.2554 0.5000 0.2385 1

Entry 7:
# PBE Tc4RuW, relaxed
# - uncorrected energy (eV/atom) = -10.3649
# - total magnetization (Bohr magnetons per cell) = 0.0
data_Tc4RuW
_cell_length_a 7.1536
_cell_length_b 7.1536
_cell_length_c 7.1536
_cell_angle_alpha 90.00
_cell_angle_beta 90.00
_cell_angle_gamma 90.00
_space_group_name_H-M_alt 'F -4 3 m'
_space_group_IT_number 216
_space_group_name_Hall 'F -4 2 3'
loop_
_atom_site_label
_atom_site_fract_x
_atom_site_fract_y
_atom_site_fract_z
_atom_site_occupancy
Tc1 0.1241 0.1241 0.3759 1
Ru1 0.2500 0.2500 0.7500 1
W1 0.0000 0.0000 0.0000 1

Entry 8:
# PBE TcRuW2, relaxed
# - uncorrected energy (eV/atom) = -11.2100
# - energy above the lowest structure with this stoichiometry (eV per formula unit) = 0.22
# - total magnetization (Bohr magnetons per cell) = 0.0
data_TcRuW2
_cell_length_a 5.4976
_cell_length_b 8.7239
_cell_length_c 2.7304
_cell_angle_alpha 90.00
_cell_angle_beta 110.60
_cell_angle_gamma 90.00
_space_group_name_H-M_alt 'C 1 2/m 1'
_space_group_IT_number 12
loop_
_space_group_symop_operation_xyz
'x,y,z'
'-x,-y,-z'
'-x,y,-z'
'x,-y,z'
'x+1/2,y+1/2,z'
'-x+1/2,-y+1/2,-z'
'-x+1/2,y+1/2,-z'
'x+1/2,-y+1/2,z'
loop_
_atom_site_label
_atom_site_fract_x
_atom_site_fract_y
_atom_site_fract_z
_atom_site_occupancy
Tc1 0.0000 0.0000 0.0000 1
Ru1 0.0000 0.5000 0.0000 1
W1 0.2500 0.2500 0.5000 1

Entry 9:
# PBE TcRuW2, relaxed
# - uncorrected energy (eV/atom) = -9.7207
# - energy above the lowest structure with this stoichiometry (eV per formula unit) = 6.18
# - total magnetization (Bohr magnetons per cell) = 0.0
data_TcRuW2
_cell_length_a 5.6775
_cell_length_b 5.6775
_cell_length_c 11.2605
_cell_angle_alpha 90.00
_cell_angle_beta 90.00
_cell_angle_gamma 90.00
_space_group_name_H-M_alt 'I -4 2 d'
_space_group_IT_number 122
_space_group_name_Hall 'I -4 2bw'
loop_
_atom_site_label
_atom_site_fract_x
_atom_site_fract_y
_atom_site_fract_z
_atom_site_occupancy
Tc1 0.0000 0.0000 0.0000 1
Ru1 0.0000 0.0000 0.5000 1
W1 0.2463 0.2500 0.6250 1

Entry 10:
# PBE Tc2RuW, relaxed
# - uncorrected energy (eV/atom) = -10.6291
# - energy above the lowest structure with this stoichiometry (eV per formula unit) = 0.22
# - total magnetization (Bohr magnetons per cell) = 0.0
data_Tc2RuW
_cell_length_a 2.7605
_cell_length_b 3.8774
_cell_length_c 5.5610
_cell_angle_alpha 90.00
_cell_angle_beta 90.00
_cell_angle_gamma 90.00
_space_group_name_H-M_alt 'P m m m'
_space_group_IT_number 47
loop_
_space_group_symop_operation_xyz
'x,y,z'
'-x,-y,-z'
'-x,-y,z'
'x,y,-z'
'x,-y,-z'
'-x,y,z'
'-x,y,-z'
'x,-y,z'
loop_
_atom_site_label
_atom_site_fract_x
_atom_site_fract_y
_atom_site_fract_z
_atom_site_occupancy
Tc1 0.0000 0.0000 0.2404 1
Ru1 0.5000 0.5000 0.0000 1
W1 0.5000 0.5000 0.5000 1

Entry 11:
# PBE Tc2RuW, relaxed
# - uncorrected energy (eV/atom) = -10.5039
# - energy above the lowest structure with this stoichiometry (eV per formula unit) = 0.72
# - total magnetization (Bohr magnetons per cell) = 0.0
data_Tc2RuW
_cell_length_a 3.2083
_cell_length_b 3.2083
_cell_length_c 5.8869
_cell_angle_alpha 90.00
_cell_angle_beta 90.00
_cell_angle_gamma 90.00
_space_group_name_H-M_alt 'P 4 m m'
_space_group_IT_number 99
loop_
_space_group_symop_operation_xyz
'x,y,z'
'-y,x,z'
'-x,-y,z'
'y,-x,z'
'-x,y,z'
'y,x,z'
'x,-y,z'
'-y,-x,z'
loop_
_atom_site_label
_atom_site_fract_x
_atom_site_fract_y
_atom_site_fract_z
_atom_site_occupancy
Tc1 0.0000 0.0000 0.0000 1
Tc2 0.5000 0.5000 0.2016 1
Ru1 0.5000 0.5000 0.7064 1
W1 0.0000 0.0000 0.4794 1

Entry 12:
# PBE TcRu2W, relaxed
# - uncorrected energy (eV/atom) = -10.0576
# - energy above the lowest structure with this stoichiometry (eV per formula unit) = 1.58
# - total magnetization (Bohr magnetons per cell) = 9.1
data_TcRu2W
_cell_length_a 6.2112
_cell_length_b 6.2112
_cell_length_c 6.2112
_cell_angle_alpha 90.00
_cell_angle_beta 90.00
_cell_angle_gamma 90.00
_space_group_name_H-M_alt 'F m -3 m'
_space_group_IT_number 225
_space_group_name_Hall '-F 4 2 3'
loop_
_atom_site_label
_atom_site_fract_x
_atom_site_fract_y
_atom_site_fract_z
_atom_site_occupancy
Tc1 0.0000 0.0000 0.0000 1
Ru1 0.2500 0.2500 0.2500 1
W1 0.0000 0.0000 0.5000 1

| no. | energy of formation (meV/atom) |
| --- | --- |
| 1 | 18 |
| 2 | 55 |
| 3 | 253 |
| 4 | 131 |
| 5 | 340 |
| 6 | 128 |
| 7 | 251 |
| 8 | 177 |
| 9 | 1666 |
| 10 | 111 |
| 11 | 236 |
| 12 | 410 |